[1]
Compound: LaTb2Ho5Th
Source: Alexandria via LeMat-Bulk
Functional: PBE
Structure: relaxed

CIF file:
```
data_LaTb2Ho5Th
_cell_length_a 10.305
_cell_length_b 10.305
_cell_length_c 10.521
_cell_angle_alpha 90.00
_cell_angle_beta 90.00
_cell_angle_gamma 148.35
_space_group_name_H-M_alt 'P 1'
_space_group_IT_number 1
loop_
_space_group_symop_operation_xyz
'x,y,z'
loop_
_atom_site_label
_atom_site_type_symbol
_atom_site_fract_x
_atom_site_fract_y
_atom_site_fract_z
_atom_site_occupancy
La1 La 0.084 0.916 0.500 1
La2 La 0.916 0.084 0.000 1
Tb1 Tb 0.387 0.613 0.370 1
Tb2 Tb 0.387 0.613 0.785 1
Tb3 Tb 0.613 0.387 0.285 1
Tb4 Tb 0.613 0.387 0.870 1
Ho1 Ho 0.021 0.979 0.788 1
Ho2 Ho 0.114 0.886 0.077 1
Ho3 Ho 0.204 0.796 0.761 1
Ho4 Ho 0.223 0.777 0.369 1
Ho5 Ho 0.484 0.516 0.079 1
Ho6 Ho 0.516 0.484 0.579 1
Ho7 Ho 0.777 0.223 0.869 1
Ho8 Ho 0.796 0.204 0.261 1
Ho9 Ho 0.886 0.114 0.577 1
Ho10 Ho 0.979 0.021 0.288 1
Th1 Th 0.298 0.702 0.066 1
Th2 Th 0.702 0.298 0.566 1
```

- calculated total energy (eV per cell) = -85.92

[2]
Compound: La3TbHo6Th2
Source: Alexandria via LeMat-Bulk
Functional: PBE
Structure: relaxed

CIF file:
```
data_La3TbHo6Th2
_cell_length_a 6.227
_cell_length_b 6.227
_cell_length_c 11.812
_cell_angle_alpha 95.05
_cell_angle_beta 95.05
_cell_angle_gamma 119.98
_space_group_name_H-M_alt 'P 1'
_space_group_IT_number 1
loop_
_space_group_symop_operation_xyz
'x,y,z'
loop_
_atom_site_label
_atom_site_type_symbol
_atom_site_fract_x
_atom_site_fract_y
_atom_site_fract_z
_atom_site_occupancy
La1 La 0.000 0.000 0.000 1
La2 La 0.334 0.666 0.000 1
La3 La 0.666 0.334 0.000 1
Tb1 Tb 0.500 0.500 0.500 1
Ho1 Ho 0.082 0.419 0.257 1
Ho2 Ho 0.244 0.244 0.743 1
Ho3 Ho 0.419 0.082 0.257 1
Ho4 Ho 0.581 0.918 0.743 1
Ho5 Ho 0.756 0.756 0.257 1
Ho6 Ho 0.918 0.581 0.743 1
Th1 Th 0.167 0.833 0.500 1
Th2 Th 0.833 0.167 0.500 1
```

- calculated total energy (eV per cell) = -61.49

[3]
Compound: LaTbHoTh2
Source: Alexandria via LeMat-Bulk
Functional: PBE
Structure: relaxed

CIF file:
```
data_LaTbHoTh2
_cell_length_a 7.330
_cell_length_b 7.330
_cell_length_c 7.099
_cell_angle_alpha 90.00
_cell_angle_beta 90.00
_cell_angle_gamma 108.46
_space_group_name_H-M_alt 'P 1'
_space_group_IT_number 1
loop_
_space_group_symop_operation_xyz
'x,y,z'
loop_
_atom_site_label
_atom_site_type_symbol
_atom_site_fract_x
_atom_site_fract_y
_atom_site_fract_z
_atom_site_occupancy
La1 La 0.245 0.755 0.750 1
La2 La 0.755 0.245 0.250 1
Tb1 Tb 0.288 0.712 0.250 1
Tb2 Tb 0.712 0.288 0.750 1
Ho1 Ho 0.022 0.978 0.250 1
Ho2 Ho 0.978 0.022 0.750 1
Th1 Th 0.314 0.314 0.000 1
Th2 Th 0.314 0.314 0.500 1
Th3 Th 0.686 0.686 0.000 1
Th4 Th 0.686 0.686 0.500 1
```

- calculated total energy (eV per cell) = -53.48